Entry from Alexandria via LeMat-Bulk: a relaxed structure of NaNbInWO6 (PBE with a Hubbard U).

Unit cell a=5.6979 b=5.6979 c=5.6979 alpha=60.00 beta=60.00 gamma=60.00
Last column: nearest neighbours and their distance in Å.
Fractional coordinates of all 10 atoms:
Na 0.7500 0.7500 0.7500  12 O 2.85
Nb 0.0000 0.0000 0.0000  6 O 2.04
In 0.2500 0.2500 0.2500  12 O 2.85
W 0.5000 0.5000 0.5000  6 O 1.98
O 0.2537 0.7463 0.2537  1 W 1.98, 1 Nb 2.04
O 0.7463 0.2537 0.7463  1 W 1.98, 1 Nb 2.04
O 0.2537 0.7463 0.7463  1 W 1.98, 1 Nb 2.04
O 0.7463 0.2537 0.2537  1 W 1.98, 1 Nb 2.04
O 0.2537 0.2537 0.7463  1 W 1.98, 1 Nb 2.04
O 0.7463 0.7463 0.2537  1 W 1.98, 1 Nb 2.04

The value obtained for the final energy is -7.03 eV per atom. Its symmetry is No. 216.